DFT (GGA-PBE) results for crystalline La6SmAg2 at its relaxed geometry.

Lattice parameters (Å, degrees): 3.832 6.787 12.175 74.73 80.95 73.60
Sites, in units of the cell vectors:
La  0.683  0.511  0.123
La  0.317  0.489  0.877
La  0.312  0.785  0.592
La  0.973  0.722  0.332
La  0.027  0.278  0.668
La  0.688  0.215  0.408
Sm  0.000  0.000  0.000
Ag  0.358  0.095  0.189
Ag  0.642  0.905  0.811

Values from the calculation:
offset from the most stable computed form: 0.000 eV/atom